# Ag3Au4 | Alexandria | GGA-PBEsol | relaxed
data_Ag3Au4
_space_group_name_H-M_alt 'I 4/m m m'
_space_group_IT_number 139
_space_group_name_Hall '-I 4 2'
_cell_length_a 3.410
_cell_length_b 3.410
_cell_length_c 20.335
_cell_angle_alpha 90.00
_cell_angle_beta 90.00
_cell_angle_gamma 90.00
loop_
_atom_site_label
_atom_site_fract_x
_atom_site_fract_y
_atom_site_fract_z
Ag1 0.000 0.000 0.000
Ag2 0.000 0.000 0.286
Au1 0.000 0.000 0.143
Au2 0.000 0.000 0.429
# D(E_F) (states/eV per atom): 0.295
# Magnetization (μB/atom): 0.00
# Final energy (eV per atom): -3.67
# Mass density (g/cm3): 15.6
# Calculated formation energy (eV per atom): -0.01